Density functional theory data (PBE) for a relaxed FeSiHg2 crystal.

Geometry as extended XYZ:
```
4
Lattice="2.9570 0.0000 0.0000 0.0000 2.9570 0.0000 0.0000 0.0000 8.2355" Properties=species:S:1:pos:R:3 pbc="T T T"
Fe 0.0000 0.0000 0.0000
Si 1.4785 1.4785 7.2667
Hg 0.0000 0.0000 4.8254
Hg 1.4785 1.4785 2.0364
```

Results
The uncorrected formation energy comes out at 254 meV/atom. The calculation puts the total magnetization at 0.000 μB/f.u.